# GGA-PBE UNbPt2, relaxed
# Size of the total moment (Bohr magnetons per cell): 6.805
# Uncorrected energy (eV per cell): -104.62
# ΔH_f (0 K) (eV per atom): -0.359
data_UNbPt2
_space_group_name_H-M_alt 'R -3 m'
_space_group_IT_number 166
_space_group_name_Hall '-R 3 2"'
_cell_length_a 4.5527
_cell_length_b 4.5527
_cell_length_c 13.3631
_cell_angle_alpha 90.00
_cell_angle_beta 90.00
_cell_angle_gamma 120.00
loop_
_atom_site_label
_atom_site_type_symbol
_atom_site_fract_x
_atom_site_fract_y
_atom_site_fract_z
U1 U 0.0000 0.0000 0.0000
Nb1 Nb 0.0000 0.0000 0.5000
Pt1 Pt 0.0000 0.0000 0.2234